This record from the Alexandria database describes a relaxed structure of Sm3Ho2Rh2. The functional is GGA-PBE.

Structure (extended XYZ):
```
7
Lattice="6.071 -1.929 0.000 6.071 1.929 0.000 -3.872 0.000 8.070" Properties=species:S:1:pos:R:3 pbc="T T T"
Sm 0.000 0.000 0.000
Sm -0.275 0.000 3.456
Sm 8.546 0.000 4.614
Ho 3.282 0.000 1.519
Ho 4.989 0.000 6.550
Rh 0.904 0.000 6.129
Rh 7.367 0.000 1.940
```

Output
energy of formation = -50.84 kJ per mole of atoms
total magnetic moment = 0.00 μB per cell
crystal system = monoclinic